A relaxed LaNd2Al crystal, computed with GGA-PBE.

Summary:
offset from the most stable computed form = 15.3 meV/atom
formation energy from the elements = -15.08 kJ/mol of atoms
uncorrected energy = -4.708 eV/atom
DOS at the Fermi energy = 4.2 states/eV per cell
M_tot = 0.000 μB/f.u.
space group = P4/mmm

```
LaNd2Al
1.0
3.632 0.000 0.000
0.000 3.632 0.000
0.000 0.000 9.400
La Nd Al
1 2 1
Cartesian
0.000 0.000 0.000 La
1.816 1.816 2.728 Nd
1.816 1.816 6.672 Nd
0.000 0.000 4.700 Al
```



A relaxed LaNd4Al2 crystal, computed with GGA-PBE.

Summary:
formation energy from the elements = -17.33 kJ/mol of atoms
uncorrected energy = -4.677 eV/atom
DOS at the Fermi energy = 5.4 states/eV per cell
M_tot = 0.000 μB/f.u.
space group = R-3m

```
LaNd4Al2
1.0
2.739 1.581 8.168
-2.739 1.581 8.168
0.000 -3.163 8.168
La Nd Al
1 4 2
Cartesian
0.000 0.000 0.000 La
0.000 0.000 3.756 Nd
0.000 0.000 10.136 Nd
0.000 0.000 14.368 Nd
0.000 0.000 20.748 Nd
0.000 0.000 6.857 Al
0.000 0.000 17.647 Al
```



A relaxed LaNd14Al crystal, computed with GGA-PBE.

Summary:
formation energy from the elements = 1.83 kJ/mol of atoms
uncorrected energy = -4.695 eV/atom
DOS at the Fermi energy = 21.9 states/eV per cell
M_tot = 0.000 μB/f.u.
space group = Amm2

```
LaNd14Al
1.0
11.249 0.000 0.000
0.000 4.346 5.583
0.000 -4.346 5.583
La Nd Al
1 14 1
Cartesian
0.000 0.000 0.000 La
0.000 -1.835 8.155 Nd
0.000 1.835 8.155 Nd
2.623 0.000 2.613 Nd
2.617 -1.772 5.711 Nd
2.617 1.772 5.711 Nd
2.896 0.000 8.932 Nd
5.624 0.000 0.138 Nd
5.624 0.000 4.851 Nd
5.624 -1.830 8.092 Nd
5.624 1.830 8.092 Nd
8.353 0.000 8.932 Nd
8.626 0.000 2.613 Nd
8.632 -1.772 5.711 Nd
8.632 1.772 5.711 Nd
0.000 0.000 4.983 Al
```



A relaxed La4Nd4Al crystal, computed with GGA-PBE.

Summary:
formation energy from the elements = 15.84 kJ/mol of atoms
uncorrected energy = -4.561 eV/atom
DOS at the Fermi energy = 13.4 states/eV per cell
M_tot = 0.000 μB/f.u.
space group = I222

```
La4Nd4Al
1.0
-3.225 4.314 5.701
3.225 -4.314 5.701
3.225 4.314 -5.701
La Nd Al
4 4 1
Cartesian
0.000 0.000 0.000 La
3.225 2.876 0.000 La
0.000 4.314 0.000 La
0.000 1.438 5.701 La
1.795 -1.196 2.758 Nd
4.655 1.196 2.758 Nd
1.430 3.119 2.943 Nd
-1.430 5.510 2.943 Nd
3.225 0.000 0.000 Al
```



A relaxed La2NdAl2 crystal, computed with GGA-PBE.

Summary:
offset from the most stable computed form = 0.0 meV/atom
formation energy from the elements = -28.99 kJ/mol of atoms
uncorrected energy = -4.722 eV/atom
DOS at the Fermi energy = 8.6 states/eV per cell
M_tot = 0.000 μB/f.u.
space group = Immm

```
La2NdAl2
1.0
5.134 0.000 0.000
0.000 7.095 0.000
0.000 0.000 7.945
La Nd Al
4 2 4
Cartesian
0.000 0.000 1.559 La
0.000 0.000 6.385 La
2.567 3.548 2.413 La
2.567 3.548 5.531 La
0.000 3.548 0.000 Nd
2.567 0.000 3.972 Nd
0.000 2.190 3.972 Al
0.000 4.905 3.972 Al
2.567 1.358 0.000 Al
2.567 5.737 0.000 Al
```



A relaxed LaNd4Al4 crystal, computed with GGA-PBE.

Summary:
formation energy from the elements = -15.95 kJ/mol of atoms
uncorrected energy = -4.495 eV/atom
DOS at the Fermi energy = 9.7 states/eV per cell
M_tot = 0.000 μB/f.u.
space group = I4/m

```
LaNd4Al4
1.0
-5.084 5.084 2.616
5.084 -5.084 2.616
5.084 5.084 -2.616
La Nd Al
1 4 4
Cartesian
0.000 0.000 0.000 La
6.618 1.202 0.000 Nd
1.202 3.550 0.000 Nd
3.882 1.534 2.616 Nd
-1.534 3.882 2.616 Nd
4.346 3.328 0.000 Al
1.756 -0.738 2.616 Al
3.328 5.822 0.000 Al
0.738 1.756 2.616 Al
```



A relaxed LaNd2Al2 crystal, computed with GGA-PBE.

Summary:
offset from the most stable computed form = 89.9 meV/atom
formation energy from the elements = -17.02 kJ/mol of atoms
uncorrected energy = -4.566 eV/atom
DOS at the Fermi energy = 14.8 states/eV per cell
M_tot = 0.000 μB/f.u.
space group = C2/m

```
LaNd2Al2
1.0
12.916 0.000 0.000
0.000 3.826 0.000
-1.175 0.000 6.105
La Nd Al
2 4 4
Cartesian
0.000 0.000 0.000 La
6.458 1.913 0.000 La
1.087 1.913 3.464 Nd
4.196 0.000 2.641 Nd
7.545 0.000 3.464 Nd
10.654 1.913 2.641 Nd
2.574 1.913 0.660 Al
2.709 0.000 5.445 Al
9.032 0.000 0.660 Al
9.167 1.913 5.445 Al
```



A relaxed La3Nd2Al crystal, computed with GGA-PBE.

Summary:
formation energy from the elements = -7.93 kJ/mol of atoms
uncorrected energy = -4.759 eV/atom
DOS at the Fermi energy = 14.6 states/eV per cell
M_tot = 0.000 μB/f.u.
space group = Cmmm

```
La3Nd2Al
1.0
4.987 0.000 0.000
0.000 15.735 0.000
0.000 0.000 4.945
La Nd Al
6 4 2
Cartesian
0.000 0.000 0.000 La
0.000 5.431 0.000 La
0.000 10.305 0.000 La
2.493 2.437 0.000 La
2.493 7.868 0.000 La
2.493 13.299 0.000 La
0.000 2.573 2.472 Nd
0.000 13.162 2.472 Nd
2.493 5.294 2.472 Nd
2.493 10.441 2.472 Nd
0.000 7.868 2.472 Al
2.493 0.000 2.472 Al
```



A relaxed La6Nd3Al crystal, computed with GGA-PBE.

Summary:
formation energy from the elements = -3.63 kJ/mol of atoms
uncorrected energy = -4.799 eV/atom
DOS at the Fermi energy = 29.9 states/eV per cell
M_tot = 0.000 μB/f.u.
space group = P2_1/m

```
La6Nd3Al
1.0
11.265 0.000 0.000
0.000 5.209 0.000
-0.615 0.000 11.705
La Nd Al
12 6 2
Cartesian
0.280 1.302 4.478 La
1.244 3.907 1.943 La
1.302 1.302 7.965 La
1.788 1.302 11.588 La
3.364 3.907 9.341 La
4.714 1.302 7.010 La
5.935 3.907 4.696 La
7.286 1.302 2.364 La
8.862 3.907 0.117 La
9.348 3.907 3.741 La
9.405 1.302 9.762 La
10.370 3.907 7.227 La
2.463 3.907 5.666 Nd
3.711 1.302 3.390 Nd
5.018 3.907 1.113 Nd
5.632 1.302 10.592 Nd
6.939 3.907 8.315 Nd
8.187 1.302 6.039 Nd
0.168 3.907 10.288 Al
10.482 1.302 1.417 Al
```



A relaxed La2Nd3Al crystal, computed with GGA-PBE.

Summary:
formation energy from the elements = -7.17 kJ/mol of atoms
uncorrected energy = -4.724 eV/atom
DOS at the Fermi energy = 16.6 states/eV per cell
M_tot = 0.000 μB/f.u.
space group = Cmmm

```
La2Nd3Al
1.0
4.976 0.000 0.000
0.000 15.632 0.000
0.000 0.000 4.926
La Nd Al
4 6 2
Cartesian
0.000 2.525 0.000 La
0.000 13.107 0.000 La
2.488 5.291 0.000 La
2.488 10.341 0.000 La
0.000 0.000 2.463 Nd
0.000 5.390 2.463 Nd
0.000 10.242 2.463 Nd
2.488 2.426 2.463 Nd
2.488 7.816 2.463 Nd
2.488 13.206 2.463 Nd
0.000 7.816 0.000 Al
2.488 0.000 0.000 Al
```



A relaxed La5NdAl3 crystal, computed with GGA-PBE.

Summary:
formation energy from the elements = -22.41 kJ/mol of atoms
uncorrected energy = -4.747 eV/atom
DOS at the Fermi energy = 21.6 states/eV per cell
M_tot = 0.000 μB/f.u.
space group = P6_3/mcm

```
La5NdAl3
1.0
9.438 0.000 0.000
-4.719 8.174 0.000
0.000 0.000 7.019
La Nd Al
10 2 6
Cartesian
-1.588 2.751 1.755 La
-3.131 5.423 5.264 La
0.000 5.449 0.000 La
0.000 5.449 3.510 La
3.176 0.000 1.755 La
1.588 2.751 5.264 La
6.262 0.000 5.264 La
3.131 5.423 1.755 La
4.719 2.725 0.000 La
4.719 2.725 3.510 La
0.000 0.000 0.000 Nd
0.000 0.000 3.510 Nd
-1.550 2.685 5.264 Al
-3.169 5.489 1.755 Al
3.100 0.000 5.264 Al
1.550 2.685 1.755 Al
6.339 0.000 1.755 Al
3.169 5.489 5.264 Al
```



A relaxed La4Nd5Al crystal, computed with GGA-PBE.

Summary:
formation energy from the elements = 6.02 kJ/mol of atoms
uncorrected energy = -4.667 eV/atom
DOS at the Fermi energy = 14.5 states/eV per cell
M_tot = 0.000 μB/f.u.
space group = I4mm

```
La4Nd5Al
1.0
-5.444 5.444 2.991
5.444 -5.444 2.991
5.444 5.444 -2.991
La Nd Al
4 5 1
Cartesian
3.337 0.000 0.000 La
7.551 0.000 0.000 La
0.000 3.337 0.000 La
0.000 7.551 0.000 La
3.449 3.449 -0.074 Nd
1.995 -1.995 2.917 Nd
-1.995 1.995 2.917 Nd
1.995 1.995 2.917 Nd
0.000 0.000 4.781 Nd
0.000 0.000 1.674 Al
```



A relaxed LaNd3Al8 crystal, computed with GGA-PBE.

Summary:
offset from the most stable computed form = 0.0 meV/atom
formation energy from the elements = -48.08 kJ/mol of atoms
uncorrected energy = -4.596 eV/atom
DOS at the Fermi energy = 8.9 states/eV per cell
M_tot = 0.000 μB/f.u.
space group = R3m

```
LaNd3Al8
1.0
2.850 1.646 9.320
-2.850 1.646 9.320
0.000 -3.291 9.320
La Nd Al
1 3 8
Cartesian
0.000 0.000 0.000 La
0.000 0.000 3.486 Nd
0.000 0.000 13.981 Nd
0.000 0.000 17.494 Nd
0.000 -1.644 6.390 Al
-1.424 0.822 6.390 Al
-1.423 -0.821 11.090 Al
0.000 0.000 8.735 Al
1.424 0.822 6.390 Al
1.423 -0.821 11.090 Al
0.000 1.643 11.090 Al
0.000 0.000 22.725 Al
```



A relaxed La3Nd2Al3 crystal, computed with GGA-PBE.

Summary:
formation energy from the elements = -22.43 kJ/mol of atoms
uncorrected energy = -4.676 eV/atom
DOS at the Fermi energy = 7.2 states/eV per cell
M_tot = 0.000 μB/f.u.
space group = P-62m

```
La3Nd2Al3
1.0
8.771 0.000 0.000
-4.385 7.596 0.000
0.000 0.000 3.419
La Nd Al
3 2 3
Cartesian
-3.276 5.674 0.000 La
1.110 1.922 0.000 La
6.551 0.000 0.000 La
0.000 5.064 0.000 Nd
4.385 2.532 0.000 Nd
-1.681 2.911 1.710 Al
3.361 0.000 1.710 Al
2.705 4.685 1.710 Al
```



A relaxed La12Nd3Al crystal, computed with GGA-PBE.

Summary:
formation energy from the elements = -2.67 kJ/mol of atoms
uncorrected energy = -4.851 eV/atom
DOS at the Fermi energy = 23.8 states/eV per cell
M_tot = 0.000 μB/f.u.
space group = P4/mmm

```
La12Nd3Al
1.0
5.161 0.000 0.000
0.000 5.161 0.000
0.000 0.000 20.933
La Nd Al
12 3 1
Cartesian
0.000 0.000 0.000 La
0.000 0.000 5.150 La
0.000 0.000 10.466 La
0.000 0.000 15.782 La
0.000 2.580 2.433 La
0.000 2.580 7.780 La
0.000 2.580 13.153 La
0.000 2.580 18.500 La
2.580 0.000 2.433 La
2.580 0.000 7.780 La
2.580 0.000 13.153 La
2.580 0.000 18.500 La
2.580 2.580 5.120 Nd
2.580 2.580 10.466 Nd
2.580 2.580 15.813 Nd
2.580 2.580 0.000 Al
```



A relaxed La14NdAl crystal, computed with GGA-PBE.

Summary:
formation energy from the elements = -2.96 kJ/mol of atoms
uncorrected energy = -4.874 eV/atom
DOS at the Fermi energy = 21.3 states/eV per cell
M_tot = 0.000 μB/f.u.
space group = Amm2

```
La14NdAl
1.0
10.330 0.000 0.000
0.000 5.182 5.176
0.000 -5.182 5.176
La Nd Al
14 1 1
Cartesian
0.000 0.000 0.000 La
0.000 -2.584 2.588 La
0.000 2.584 2.588 La
0.000 0.000 5.174 La
2.678 0.000 7.634 La
2.687 -2.461 5.176 La
2.687 2.461 5.176 La
2.693 0.000 2.715 La
5.165 -2.582 7.764 La
5.165 2.582 7.764 La
7.637 0.000 2.715 La
7.643 -2.461 5.176 La
7.643 2.461 5.176 La
7.651 0.000 7.634 La
5.165 0.000 0.000 Nd
5.165 0.000 5.178 Al
```



A relaxed LaNd2Al crystal, computed with GGA-PBE.

Summary:
offset from the most stable computed form = 162.0 meV/atom
formation energy from the elements = -0.92 kJ/mol of atoms
uncorrected energy = -4.561 eV/atom
DOS at the Fermi energy = 33.6 states/eV per cell
M_tot = 0.024 μB/f.u.
space group = Fm-3m

```
LaNd2Al
1.0
7.817 0.000 0.000
0.000 7.817 0.000
0.000 0.000 7.817
La Nd Al
4 8 4
Cartesian
0.000 0.000 0.000 La
0.000 3.908 3.908 La
3.908 0.000 3.908 La
3.908 3.908 0.000 La
1.954 1.954 1.954 Nd
1.954 1.954 5.863 Nd
1.954 5.863 1.954 Nd
1.954 5.863 5.863 Nd
5.863 1.954 1.954 Nd
5.863 1.954 5.863 Nd
5.863 5.863 1.954 Nd
5.863 5.863 5.863 Nd
0.000 0.000 3.908 Al
0.000 3.908 0.000 Al
3.908 0.000 0.000 Al
3.908 3.908 3.908 Al
```



A relaxed La2Nd2Al crystal, computed with GGA-PBE.

Summary:
offset from the most stable computed form = 0.0 meV/atom
formation energy from the elements = -11.78 kJ/mol of atoms
uncorrected energy = -4.749 eV/atom
DOS at the Fermi energy = 12.7 states/eV per cell
M_tot = 0.000 μB/f.u.
space group = C2/m

```
La2Nd2Al
1.0
12.863 0.000 0.000
0.000 3.895 0.000
-6.188 0.000 6.528
La Nd Al
4 4 2
Cartesian
-1.179 0.000 2.397 La
1.423 1.948 4.131 La
5.252 1.948 2.397 La
7.855 0.000 4.131 La
-1.998 1.948 5.411 Nd
2.242 0.000 1.116 Nd
4.433 0.000 5.411 Nd
8.673 1.948 1.116 Nd
0.000 1.948 0.000 Al
6.432 0.000 0.000 Al
```



A relaxed La3NdAl8 crystal, computed with GGA-PBE.

Summary:
offset from the most stable computed form = 18.9 meV/atom
formation energy from the elements = -46.49 kJ/mol of atoms
uncorrected energy = -4.606 eV/atom
DOS at the Fermi energy = 7.6 states/eV per cell
M_tot = 0.000 μB/f.u.
space group = P3m1

```
La3NdAl8
1.0
5.732 0.000 0.000
-2.866 4.964 0.000
0.000 0.000 9.434
La Nd Al
3 1 8
Cartesian
0.000 0.000 0.000 La
0.000 0.000 3.411 La
0.000 3.309 8.154 La
0.000 3.309 4.711 Nd
-1.393 2.505 1.724 Al
1.394 0.805 6.404 Al
1.393 2.505 1.724 Al
0.000 4.918 1.724 Al
2.866 1.655 4.068 Al
2.866 1.655 8.766 Al
4.338 0.805 6.404 Al
2.866 3.354 6.404 Al
```



A relaxed LaNd2Al crystal, computed with GGA-PBE.

Summary:
offset from the most stable computed form = 57.3 meV/atom
formation energy from the elements = -11.03 kJ/mol of atoms
uncorrected energy = -4.666 eV/atom
DOS at the Fermi energy = 16.7 states/eV per cell
M_tot = 0.000 μB/f.u.
space group = Pnma

```
LaNd2Al
1.0
9.877 0.000 0.000
0.000 5.399 0.000
0.000 0.000 9.514
La Nd Al
4 8 4
Cartesian
0.803 1.350 0.126 La
4.136 4.049 4.883 La
5.741 1.350 4.631 La
9.074 4.049 9.388 La
0.577 4.049 5.936 Nd
2.027 4.049 2.325 Nd
2.911 1.350 7.083 Nd
4.361 1.350 1.178 Nd
5.516 4.049 8.336 Nd
6.966 4.049 2.432 Nd
7.850 1.350 7.189 Nd
9.300 1.350 3.579 Nd
2.441 4.049 8.749 Al
2.498 1.350 3.992 Al
7.379 4.049 5.522 Al
7.436 1.350 0.765 Al
```